Density functional theory data (meta-GGA SCAN) for HfScAs2Br at its PBEsol-relaxed geometry.

Values from the calculation:
* total magnetic moment: 0.63 μB per formula unit
* formation energy (no corrections): 64 kJ/mol of formula units
* DOS at the Fermi energy: 3.70 states/eV per cell

Cell lengths 4.8094, 5.0468, 5.0468 Å; angles 90.00, 90.00, 90.00 degrees
Element x y z (fractional)
1 Sc 0.0000 0.0000 0.0000
2 Br 0.5000 0.0000 0.0000
3 As 0.0000 0.0000 0.5000
4 As 0.0000 0.5000 0.0000
5 Hf 0.5000 0.5000 0.5000